DFT (PBE-GGA) results for an optimized crystal structure of FeCo2Pt.

Results
Fermi-level density of states (states/eV/f.u.): 3.8
Total magnetization (μB per formula unit): 6.50

extended XYZ file:
```
4
Lattice="4.4958 -0.0041 0.0104 3.7118 2.5366 0.0104 0.8001 0.2469 4.4001" Properties=species:S:1:pos:R:3 pbc="T T T"
Co 6.7473 2.0819 3.3483
Pt 2.2630 0.6983 1.1033
Fe 4.4882 1.3849 2.2645
Co 0.8133 0.2509 4.3155
```

DFT (PBE-GGA) results for an optimized crystal structure of FeCo8Pt6.

Results
Fermi-level density of states (states/eV/f.u.): 17.3
Total magnetization (μB per formula unit): 19.51

extended XYZ file:
```
15
Lattice="-6.3493 0.8133 1.6483 -2.4072 -2.6829 5.5407 -1.6816 3.8147 5.1296" Properties=species:S:1:pos:R:3 pbc="T T T"
Co -6.9110 -0.6583 5.6294
Fe 0.0000 0.0000 0.0000
Co -4.5788 -1.3351 6.4200
Pt -7.3683 2.9774 8.5833
Co -5.8593 3.2802 5.8987
Pt -3.0698 -1.0323 3.7353
Co -3.5271 2.6034 6.6892
Pt -6.4070 0.6525 9.7651
Pt -8.5351 0.5275 7.9815
Pt -4.0311 1.2925 2.5536
Pt -1.9030 1.4176 4.3371
Co -6.6087 1.4737 4.2564
Co -4.4437 0.8281 5.2443
Co -5.9944 1.1170 7.0744
Co -3.8294 0.4714 8.0622
```

no.,formation enthalpy at 0 K (meV/atom)
1,-62
2,41